[1]
BaLi2Os PBE optimized geometry; relative energy among the computed polymorphs = 31 meV/atom; V = 98.4 Å³/cell; space-group type = Immm; total energy = -3.618 eV/atom
1.0
-0.7277 -0.4203 -6.5860
2.5824 -4.9733 -3.5609
-4.0790 2.5770 4.5610
Ba Li Os
1 2 1
Cartesian
-1.9397 -0.2700 -3.5492
0.1076 -0.3129 -0.5887
0.8197 -2.3838 -4.4847
-0.2846 -2.5465 -2.0366



[2]
DyPaGa6 PBE optimized geometry; V = 155.3 Å³/cell; space-group type = P-6m2; total energy = -4.485 eV/atom
1.0
4.5633 0.0000 0.0000
0.0000 6.2662 -0.2033
0.0000 -2.9566 5.5286
Dy Pa Ga
1 1 6
Cartesian
2.2817 0.8854 3.1408
0.0000 -2.1880 5.0509
0.0000 -0.8751 2.1983
0.0000 0.9511 5.1367
0.0000 2.5815 2.0867
2.2817 2.5481 0.4749
2.2817 4.0120 2.8303
2.2817 5.3207 0.3843



[3]
TbHo12Tm5 PBE optimized geometry; V = 549.2 Å³/cell; space-group type = C2/m; total energy = -4.540 eV/atom
1.0
-1.7062 -2.5353 -5.2770
-5.3875 -2.8220 -0.4256
-6.7515 15.5208 -2.9324
Tb Ho Tm
1 12 5
Cartesian
0.0000 0.0000 0.0000
-3.5848 3.2162 -5.0864
-4.8730 9.7693 -3.1230
-6.6603 11.3716 -5.6599
-7.1849 -1.2082 -2.9752
-9.6831 10.3354 -4.1866
-4.8190 0.5782 -1.0731
-9.0262 9.5853 -7.5620
-4.1621 -0.1719 -4.4485
-7.2371 7.9830 -5.0252
-9.6030 6.1968 -6.9255
-4.2422 3.9667 -1.7096
-6.6081 2.1804 -3.6099
-4.2289 6.4927 -4.1047
-7.2517 5.4565 -2.6296
-6.5937 4.7069 -6.0055
-4.7291 -3.5716 -3.8020
-2.3647 -1.7858 -1.9009



| no. | energy of formation from the pure elements (meV per atom) | total magnetic moment (Bohr magnetons per cell) |
| --- | --- | --- |
| 1 | 627 | 0.000 |
| 2 | -453 | 0.000 |
| 3 | 11 | 0.000 |